1.
Entry from the Alexandria database: CeMg14Cr after structural relaxation (GGA-PBE).

Output
- Symmetry: P-6m2
- ΔE_f: 2.6 kcal/mol of atoms

Cell lengths 6.475, 6.475, 10.299 Å; angles 90.00, 90.00, 120.00 degrees
Positions (direct):
Mg  0.667  0.333  0.237
Mg  0.164  0.836  0.739
Mg  0.015  0.508  0.000
Mg  0.502  0.005  0.500
Mg  0.164  0.329  0.261
Mg  0.492  0.508  0.000
Mg  0.667  0.333  0.763
Mg  0.164  0.329  0.739
Mg  0.995  0.498  0.500
Mg  0.502  0.498  0.500
Mg  0.671  0.836  0.739
Mg  0.492  0.985  0.000
Mg  0.671  0.836  0.261
Mg  0.164  0.836  0.261
Cr  0.000  0.000  0.500
Ce  0.000  0.000  0.000

=====

2.
Entry from the Alexandria database: CeMgCrN3 after structural relaxation (GGA-PBE).

Output
- Symmetry: P2_1/m
- Formation energy without anion corrections: -0.84 eV per atom

Cell lengths 3.228, 7.132, 7.115 Å; angles 102.57, 90.00, 90.00 degrees
Positions (direct):
N  0.750  0.178  0.489
N  0.250  0.574  0.834
N  0.750  0.874  0.145
N  0.250  0.822  0.511
N  0.750  0.426  0.166
N  0.250  0.126  0.855
Cr  0.250  0.091  0.604
Cr  0.750  0.909  0.396
Ce  0.250  0.219  0.212
Ce  0.750  0.781  0.788
Mg  0.750  0.363  0.855
Mg  0.250  0.637  0.145

=====

3.
Entry from the Alexandria database: CeMnCr2N4 after structural relaxation (GGA-PBE).

Output
- Symmetry: Cmcm
- Formation energy without anion corrections: -0.58 eV per atom

Cell lengths 3.127, 5.570, 10.125 Å; angles 90.00, 90.00, 106.31 degrees
Positions (direct):
N  0.000  0.000  0.000
N  0.264  0.528  0.391
N  0.563  0.126  0.250
N  0.000  0.000  0.500
N  0.437  0.874  0.750
N  0.264  0.528  0.109
N  0.736  0.472  0.609
N  0.736  0.472  0.891
Cr  0.369  0.739  0.950
Cr  0.631  0.261  0.050
Cr  0.631  0.261  0.450
Cr  0.369  0.739  0.550
Ce  0.898  0.796  0.250
Ce  0.102  0.204  0.750
Mn  0.159  0.319  0.250
Mn  0.841  0.681  0.750

=====

4.
Entry from the Alexandria database: Ce2MnCrN5 after structural relaxation (GGA-PBE).

Output
- Symmetry: Cmc2_1
- Formation energy without anion corrections: -0.93 eV per atom

Cell lengths 3.317, 6.923, 9.460 Å; angles 90.00, 90.00, 103.86 degrees
Positions (direct):
Cr  0.568  0.135  0.961
Cr  0.432  0.865  0.461
N  0.051  0.102  0.045
N  0.492  0.985  0.296
N  0.348  0.695  0.004
N  0.949  0.898  0.545
N  0.702  0.403  0.147
N  0.298  0.597  0.647
N  0.693  0.386  0.874
N  0.508  0.015  0.796
N  0.652  0.305  0.504
N  0.307  0.614  0.374
Ce  0.868  0.736  0.805
Ce  0.132  0.264  0.305
Ce  0.128  0.256  0.682
Ce  0.872  0.744  0.182
Mn  0.204  0.409  0.010
Mn  0.796  0.591  0.510

=====

5.
Entry from the Alexandria database: CeMnCrP2 after structural relaxation (GGA-PBE).

Output
- Symmetry: I-4m2
- ΔE_f: -19.9 kcal/mol of atoms

Cell lengths 3.810, 3.810, 6.069 Å; angles 108.29, 108.29, 90.00 degrees
Positions (direct):
Cr  0.750  0.250  0.500
P  0.366  0.366  0.733
P  0.634  0.634  0.267
Ce  0.000  0.000  0.000
Mn  0.250  0.750  0.500

=====

6.
Entry from the Alexandria database: Ce2MnCrS5 after structural relaxation (GGA-PBE).

Output
- Symmetry: Cmc2_1
- Formation energy without anion corrections: -1.31 eV per atom

Cell lengths 3.895, 8.349, 11.470 Å; angles 90.00, 90.00, 103.49 degrees
Positions (direct):
Cr  0.208  0.417  0.018
Cr  0.792  0.583  0.518
S  0.058  0.115  0.062
S  0.358  0.716  0.002
S  0.693  0.385  0.864
S  0.642  0.284  0.502
S  0.307  0.615  0.364
S  0.505  0.009  0.271
S  0.942  0.885  0.562
S  0.495  0.991  0.771
S  0.286  0.571  0.659
S  0.714  0.429  0.159
Ce  0.866  0.732  0.804
Ce  0.134  0.268  0.304
Ce  0.115  0.230  0.692
Ce  0.885  0.770  0.192
Mn  0.443  0.887  0.452
Mn  0.557  0.113  0.952